(1)
{
  "formula": "CsNpSn2I8",
  "functional": "PBE",
  "state": "relaxed",
  "lattice": [[7.520, 0.000, 0.000], [0.375, 7.848, 0.000], [1.006, 1.065, 10.176]],
  "species": ["Cs", "Np", "Sn", "Sn", "I", "I", "I", "I", "I", "I", "I", "I"],
  "fractional_positions": [[0.000, 0.000, 0.000], [0.000, 0.000, 0.500], [0.478, 0.490, 0.247], [0.522, 0.510, 0.753], [0.234, 0.327, 0.482], [0.252, 0.838, 0.705], [0.259, 0.398, 0.046], [0.267, 0.854, 0.286], [0.733, 0.146, 0.714], [0.741, 0.602, 0.954], [0.748, 0.162, 0.295], [0.766, 0.673, 0.518]],
  "rho_g_cm3": 4.49,
  "formation_energy_uncorrected_kcal_per_mol_atoms": -17.30,
  "e_tot_ev_per_atom": -3.600
}


(2)
{
  "formula": "Cs2SrNpI6",
  "functional": "PBE",
  "state": "relaxed",
  "lattice": [[9.045, 0.000, 0.000], [0.000, 12.813, 0.000], [0.000, 0.000, 9.060]],
  "species": ["Cs", "Cs", "Cs", "Cs", "Sr", "Sr", "Np", "Np", "I", "I", "I", "I", "I", "I", "I", "I", "I", "I", "I", "I"],
  "fractional_positions": [[0.250, 0.018, 0.237], [0.250, 0.482, 0.237], [0.750, 0.518, 0.763], [0.750, 0.982, 0.763], [0.250, 0.750, 0.750], [0.750, 0.250, 0.250], [0.250, 0.250, 0.748], [0.750, 0.750, 0.252], [0.005, 0.250, 0.998], [0.007, 0.250, 0.498], [0.250, 0.003, 0.757], [0.250, 0.497, 0.757], [0.493, 0.250, 0.498], [0.495, 0.250, 0.998], [0.505, 0.750, 0.002], [0.507, 0.750, 0.502], [0.750, 0.503, 0.243], [0.750, 0.997, 0.243], [0.993, 0.750, 0.502], [0.995, 0.750, 0.002]],
  "rho_g_cm3": 4.28,
  "formation_energy_uncorrected_kcal_per_mol_atoms": -29.06,
  "e_tot_ev_per_atom": -3.823
}


(3)
{
  "formula": "CsSrNpI6",
  "functional": "PBE",
  "state": "relaxed",
  "lattice": [[8.322, 0.000, 0.000], [-4.161, 7.207, 0.000], [0.000, 0.000, 16.973]],
  "species": ["Cs", "Cs", "Sr", "Sr", "Np", "Np", "I", "I", "I", "I", "I", "I", "I", "I", "I", "I", "I", "I"],
  "fractional_positions": [[0.000, 0.000, 0.000], [0.000, 0.000, 0.500], [0.333, 0.667, 0.250], [0.667, 0.333, 0.750], [0.333, 0.667, 0.750], [0.667, 0.333, 0.250], [0.016, 0.385, 0.639], [0.016, 0.631, 0.861], [0.369, 0.385, 0.861], [0.369, 0.984, 0.639], [0.385, 0.016, 0.139], [0.385, 0.369, 0.361], [0.615, 0.631, 0.639], [0.615, 0.984, 0.861], [0.631, 0.016, 0.361], [0.631, 0.615, 0.139], [0.984, 0.369, 0.139], [0.984, 0.615, 0.361]],
  "rho_g_cm3": 3.98,
  "formation_energy_uncorrected_kcal_per_mol_atoms": -30.25,
  "e_tot_ev_per_atom": -4.065
}


(4)
{
  "formula": "CsNpTl2I6",
  "functional": "PBE",
  "state": "relaxed",
  "lattice": [[8.317, 0.000, 0.000], [0.000, 9.910, 0.000], [-7.671, 0.000, 12.384]],
  "species": ["Cs", "Cs", "Np", "Np", "Tl", "Tl", "Tl", "Tl", "I", "I", "I", "I", "I", "I", "I", "I", "I", "I", "I", "I"],
  "fractional_positions": [[0.000, 0.000, 0.000], [0.000, 0.500, 0.500], [0.500, 0.000, 0.500], [0.500, 0.500, 0.000], [0.195, 0.064, 0.709], [0.195, 0.436, 0.209], [0.805, 0.564, 0.791], [0.805, 0.936, 0.291], [0.151, 0.159, 0.467], [0.151, 0.341, 0.967], [0.237, 0.749, 0.887], [0.237, 0.751, 0.387], [0.428, 0.112, 0.281], [0.428, 0.388, 0.781], [0.572, 0.612, 0.219], [0.572, 0.888, 0.719], [0.763, 0.249, 0.613], [0.763, 0.251, 0.113], [0.849, 0.659, 0.033], [0.849, 0.841, 0.533]],
  "rho_g_cm3": 5.01,
  "formation_energy_uncorrected_kcal_per_mol_atoms": -21.29,
  "e_tot_ev_per_atom": -3.706
}


(5)
{
  "formula": "CsNpZn2I8",
  "functional": "PBE",
  "state": "relaxed",
  "lattice": [[3.748, 2.164, 11.284], [-3.748, 2.164, 11.284], [0.000, -4.327, 11.284]],
  "species": ["Cs", "Np", "Zn", "Zn", "I", "I", "I", "I", "I", "I", "I", "I"],
  "fractional_positions": [[0.000, 0.000, 0.000], [0.500, 0.500, 0.500], [0.249, 0.249, 0.249], [0.751, 0.751, 0.751], [0.113, 0.782, 0.439], [0.218, 0.561, 0.887], [0.324, 0.324, 0.324], [0.439, 0.113, 0.782], [0.561, 0.887, 0.218], [0.676, 0.676, 0.676], [0.782, 0.439, 0.113], [0.887, 0.218, 0.561]],
  "rho_g_cm3": 4.59,
  "formation_energy_uncorrected_kcal_per_mol_atoms": -18.80,
  "e_tot_ev_per_atom": -3.211
}


(6)
{
  "formula": "Cs4I3O2",
  "functional": "PBE",
  "state": "relaxed",
  "lattice": [[9.094, -4.838, 0.000], [9.094, 4.838, 0.000], [-0.949, 0.000, 10.358]],
  "species": ["Cs", "Cs", "Cs", "Cs", "Cs", "Cs", "Cs", "Cs", "I", "I", "I", "I", "I", "I", "O", "O", "O", "O"],
  "fractional_positions": [[0.167, 0.718, 0.962], [0.275, 0.285, 0.663], [0.282, 0.833, 0.538], [0.285, 0.275, 0.163], [0.715, 0.725, 0.837], [0.718, 0.167, 0.462], [0.725, 0.715, 0.337], [0.833, 0.282, 0.038], [0.019, 0.253, 0.389], [0.253, 0.019, 0.889], [0.462, 0.538, 0.250], [0.538, 0.462, 0.750], [0.747, 0.981, 0.111], [0.981, 0.747, 0.611], [0.045, 0.511, 0.965], [0.489, 0.955, 0.535], [0.511, 0.045, 0.465], [0.955, 0.489, 0.035]],
  "rho_g_cm3": 3.44,
  "formation_energy_uncorrected_kcal_per_mol_atoms": -29.70,
  "e_tot_ev_per_atom": -3.286
}


(7)
{
  "formula": "Cs4I2O",
  "functional": "PBE",
  "state": "relaxed",
  "lattice": [[9.526, 0.000, 0.000], [0.000, 14.758, 0.000], [0.000, 0.000, 4.969]],
  "species": ["Cs", "Cs", "Cs", "Cs", "Cs", "Cs", "Cs", "Cs", "I", "I", "I", "I", "O", "O"],
  "fractional_positions": [[0.120, 0.170, 0.000], [0.193, 0.946, 0.500], [0.307, 0.446, 0.500], [0.380, 0.670, 0.000], [0.620, 0.330, 0.000], [0.693, 0.554, 0.500], [0.807, 0.054, 0.500], [0.880, 0.830, 0.000], [0.073, 0.674, 0.500], [0.427, 0.174, 0.500], [0.573, 0.826, 0.500], [0.927, 0.326, 0.500], [0.000, 0.000, 0.000], [0.500, 0.500, 0.000]],
  "rho_g_cm3": 3.81,
  "formation_energy_uncorrected_kcal_per_mol_atoms": -29.94,
  "e_tot_ev_per_atom": -2.937
}


(8)
{
  "formula": "Cs2I2O5",
  "functional": "PBE",
  "state": "relaxed",
  "lattice": [[7.077, -2.095, 0.000], [7.077, 2.095, 0.000], [-1.515, 0.000, 7.160]],
  "species": ["Cs", "Cs", "I", "I", "O", "O", "O", "O", "O"],
  "fractional_positions": [[0.119, 0.119, 0.318], [0.881, 0.881, 0.682], [0.381, 0.381, 0.145], [0.619, 0.619, 0.855], [0.126, 0.126, 0.878], [0.351, 0.351, 0.383], [0.500, 0.500, 0.000], [0.649, 0.649, 0.617], [0.874, 0.874, 0.122]],
  "rho_g_cm3": 4.69,
  "formation_energy_uncorrected_kcal_per_mol_atoms": -15.60,
  "e_tot_ev_per_atom": -3.965
}


(9)
{
  "formula": "Cs3IO6",
  "functional": "PBE",
  "state": "relaxed",
  "lattice": [[5.928, -3.418, 0.000], [5.928, 3.418, 0.000], [-3.960, 0.000, 5.593]],
  "species": ["Cs", "Cs", "Cs", "I", "O", "O", "O", "O", "O", "O"],
  "fractional_positions": [[0.000, 0.000, 0.000], [0.250, 0.250, 0.750], [0.750, 0.750, 0.250], [0.500, 0.500, 0.500], [0.298, 0.689, 0.689], [0.305, 0.305, 0.292], [0.311, 0.702, 0.311], [0.689, 0.298, 0.689], [0.695, 0.695, 0.708], [0.702, 0.311, 0.311]],
  "rho_g_cm3": 4.55,
  "formation_energy_uncorrected_kcal_per_mol_atoms": -21.14,
  "e_tot_ev_per_atom": -4.303
}


(10)
{
  "formula": "Cs4IO4",
  "functional": "PBE",
  "state": "relaxed",
  "lattice": [[-4.752, 4.752, 4.955], [4.752, -4.752, 4.955], [4.752, 4.752, -4.955]],
  "species": ["Cs", "Cs", "Cs", "Cs", "I", "O", "O", "O", "O"],
  "fractional_positions": [[0.051, 0.585, 0.000], [0.415, 0.415, 0.466], [0.585, 0.051, 0.000], [0.949, 0.949, 0.534], [0.000, 0.000, 0.000], [0.007, 0.007, 0.242], [0.235, 0.993, 0.000], [0.765, 0.765, 0.758], [0.993, 0.235, 0.000]],
  "rho_g_cm3": 2.68,
  "formation_energy_uncorrected_kcal_per_mol_atoms": -18.44,
  "e_tot_ev_per_atom": -3.555
}


(11)
{
  "formula": "CsI2O6",
  "functional": "PBE",
  "state": "relaxed",
  "lattice": [[5.658, -1.991, 0.000], [5.658, 1.991, 0.000], [-3.462, 0.000, 8.437]],
  "species": ["Cs", "I", "I", "O", "O", "O", "O", "O", "O"],
  "fractional_positions": [[0.000, 0.000, 0.000], [0.166, 0.166, 0.626], [0.834, 0.834, 0.374], [0.021, 0.021, 0.668], [0.286, 0.286, 0.824], [0.323, 0.323, 0.425], [0.677, 0.677, 0.575], [0.714, 0.714, 0.176], [0.979, 0.979, 0.332]],
  "rho_g_cm3": 4.22,
  "polymorph_energy_mev_per_atom": 9,
  "formation_energy_uncorrected_kcal_per_mol_atoms": -12.49,
  "e_tot_ev_per_atom": -4.286
}


(12)
{
  "formula": "CsIO4",
  "functional": "PBE",
  "state": "relaxed",
  "lattice": [[6.935, 0.000, 0.000], [0.000, 5.440, 0.000], [-0.009, 0.000, 5.492]],
  "species": ["Cs", "Cs", "I", "I", "O", "O", "O", "O", "O", "O", "O", "O"],
  "fractional_positions": [[0.000, 0.000, 0.000], [0.000, 0.500, 0.500], [0.500, 0.000, 0.500], [0.500, 0.500, 0.000], [0.248, 0.088, 0.499], [0.248, 0.412, 0.999], [0.415, 0.750, 0.250], [0.415, 0.750, 0.750], [0.585, 0.250, 0.250], [0.585, 0.250, 0.750], [0.752, 0.588, 0.001], [0.752, 0.912, 0.501]],
  "rho_g_cm3": 5.19,
  "formation_energy_uncorrected_kcal_per_mol_atoms": -13.96,
  "e_tot_ev_per_atom": -4.312
}


(13)
{
  "formula": "Cs4I2O",
  "functional": "PBE",
  "state": "relaxed",
  "lattice": [[3.073, -9.078, 0.000], [3.073, 9.078, 0.000], [0.000, 0.000, 5.871]],
  "species": ["Cs", "Cs", "Cs", "Cs", "I", "I", "O"],
  "fractional_positions": [[0.000, 0.000, 0.000], [0.153, 0.847, 0.500], [0.500, 0.500, 0.500], [0.847, 0.153, 0.500], [0.352, 0.648, 0.000], [0.648, 0.352, 0.000], [0.000, 0.000, 0.500]],
  "rho_g_cm3": 4.06,
  "formation_energy_uncorrected_kcal_per_mol_atoms": -30.02,
  "e_tot_ev_per_atom": -2.941
}


(14)
{
  "formula": "Cs2IO2",
  "functional": "PBE",
  "state": "relaxed",
  "lattice": [[4.218, -2.798, 0.000], [4.218, 2.798, 0.000], [-2.684, 0.000, 8.253]],
  "species": ["Cs", "Cs", "I", "O", "O"],
  "fractional_positions": [[0.230, 0.230, 0.289], [0.770, 0.770, 0.711], [0.500, 0.500, 0.000], [0.121, 0.879, 0.500], [0.879, 0.121, 0.500]],
  "rho_g_cm3": 3.62,
  "formation_energy_uncorrected_kcal_per_mol_atoms": -26.04,
  "e_tot_ev_per_atom": -3.764
}


(15)
{
  "formula": "Cs2IO",
  "functional": "PBE",
  "state": "relaxed",
  "lattice": [[-4.344, 4.344, 4.931], [4.344, -4.344, 4.931], [4.344, 4.344, -4.931]],
  "species": ["Cs", "Cs", "Cs", "Cs", "I", "I", "O", "O"],
  "fractional_positions": [[0.031, 0.625, 0.906], [0.375, 0.281, 0.406], [0.719, 0.125, 0.094], [0.875, 0.969, 0.594], [0.250, 0.750, 0.500], [0.500, 0.500, 0.000], [0.000, 0.000, 0.000], [0.750, 0.250, 0.500]],
  "rho_g_cm3": 3.65,
  "polymorph_energy_mev_per_atom": 0,
  "formation_energy_uncorrected_kcal_per_mol_atoms": -23.25,
  "e_tot_ev_per_atom": -3.062
}


(16)
{
  "formula": "CsI2O5",
  "functional": "PBE",
  "state": "relaxed",
  "lattice": [[-2.534, 3.223, 5.302], [2.534, -3.223, 5.302], [2.534, 3.223, -5.302]],
  "species": ["Cs", "I", "I", "O", "O", "O", "O", "O"],
  "fractional_positions": [[0.000, 0.000, 0.000], [0.292, 0.792, 0.500], [0.708, 0.208, 0.500], [0.044, 0.320, 0.724], [0.404, 0.680, 0.724], [0.500, 0.000, 0.500], [0.596, 0.320, 0.276], [0.956, 0.680, 0.276]],
  "rho_g_cm3": 4.47,
  "formation_energy_uncorrected_kcal_per_mol_atoms": -5.61,
  "e_tot_ev_per_atom": -3.836
}


(17)
{
  "formula": "Cs12I3O5",
  "functional": "PBE",
  "state": "relaxed",
  "lattice": [[-9.678, 9.678, 9.678], [9.678, -9.678, 9.678], [9.678, 9.678, -9.678]],
  "species": ["Cs", "Cs", "Cs", "Cs", "Cs", "Cs", "Cs", "Cs", "Cs", "Cs", "Cs", "Cs", "Cs", "Cs", "Cs", "Cs", "Cs", "Cs", "Cs", "Cs", "Cs", "Cs", "Cs", "Cs", "Cs", "Cs", "Cs", "Cs", "Cs", "Cs", "Cs", "Cs", "Cs", "Cs", "Cs", "Cs", "Cs", "Cs", "Cs", "Cs", "Cs", "Cs", "Cs", "Cs", "Cs", "Cs", "Cs", "Cs", "I", "I", "I", "I", "I", "I", "I", "I", "I", "I", "I", "I", "O", "O", "O", "O", "O", "O", "O", "O", "O", "O", "O", "O", "O", "O", "O", "O", "O", "O", "O", "O"],
  "fractional_positions": [[0.009, 0.193, 0.108], [0.009, 0.316, 0.901], [0.085, 0.693, 0.684], [0.085, 0.892, 0.401], [0.099, 0.608, 0.415], [0.099, 0.991, 0.684], [0.108, 0.009, 0.193], [0.108, 0.599, 0.915], [0.184, 0.193, 0.585], [0.184, 0.491, 0.599], [0.193, 0.108, 0.009], [0.193, 0.585, 0.184], [0.307, 0.316, 0.915], [0.307, 0.491, 0.392], [0.316, 0.901, 0.009], [0.316, 0.915, 0.307], [0.392, 0.307, 0.491], [0.392, 0.585, 0.901], [0.401, 0.085, 0.892], [0.401, 0.816, 0.509], [0.415, 0.099, 0.608], [0.415, 0.816, 0.807], [0.491, 0.392, 0.307], [0.491, 0.599, 0.184], [0.509, 0.401, 0.816], [0.509, 0.608, 0.693], [0.585, 0.184, 0.193], [0.585, 0.901, 0.392], [0.599, 0.184, 0.491], [0.599, 0.915, 0.108], [0.608, 0.415, 0.099], [0.608, 0.693, 0.509], [0.684, 0.085, 0.693], [0.684, 0.099, 0.991], [0.693, 0.509, 0.608], [0.693, 0.684, 0.085], [0.807, 0.415, 0.816], [0.807, 0.892, 0.991], [0.816, 0.509, 0.401], [0.816, 0.807, 0.415], [0.892, 0.401, 0.085], [0.892, 0.991, 0.807], [0.901, 0.009, 0.316], [0.901, 0.392, 0.585], [0.915, 0.108, 0.599], [0.915, 0.307, 0.316], [0.991, 0.684, 0.099], [0.991, 0.807, 0.892], [0.125, 0.250, 0.375], [0.125, 0.375, 0.750], [0.250, 0.375, 0.125], [0.250, 0.875, 0.625], [0.375, 0.125, 0.250], [0.375, 0.750, 0.125], [0.625, 0.250, 0.875], [0.625, 0.875, 0.750], [0.750, 0.125, 0.375], [0.750, 0.625, 0.875], [0.875, 0.625, 0.250], [0.875, 0.750, 0.625], [0.000, 0.000, 0.000], [0.000, 0.000, 0.500], [0.000, 0.500, 0.000], [0.000, 0.500, 0.500], [0.125, 0.750, 0.875], [0.125, 0.875, 0.250], [0.250, 0.125, 0.875], [0.250, 0.625, 0.375], [0.375, 0.250, 0.625], [0.375, 0.625, 0.750], [0.500, 0.000, 0.000], [0.500, 0.000, 0.500], [0.500, 0.500, 0.000], [0.500, 0.500, 0.500], [0.625, 0.375, 0.250], [0.625, 0.750, 0.375], [0.750, 0.375, 0.625], [0.750, 0.875, 0.125], [0.875, 0.125, 0.750], [0.875, 0.250, 0.125]],
  "rho_g_cm3": 3.77,
  "formation_energy_uncorrected_kcal_per_mol_atoms": -25.66,
  "e_tot_ev_per_atom": -3.097
}


(18)
{
  "formula": "Cs3I2O8",
  "functional": "PBE",
  "state": "relaxed",
  "lattice": [[3.354, 1.936, 7.998], [-3.354, 1.936, 7.998], [0.000, -3.873, 7.998]],
  "species": ["Cs", "Cs", "Cs", "I", "I", "O", "O", "O", "O", "O", "O", "O", "O"],
  "fractional_positions": [[0.000, 0.000, 0.000], [0.202, 0.202, 0.202], [0.798, 0.798, 0.798], [0.406, 0.406, 0.406], [0.594, 0.594, 0.594], [0.269, 0.718, 0.718], [0.282, 0.282, 0.731], [0.282, 0.731, 0.282], [0.330, 0.330, 0.330], [0.670, 0.670, 0.670], [0.718, 0.269, 0.718], [0.718, 0.718, 0.269], [0.731, 0.282, 0.282]],
  "rho_g_cm3": 4.16,
  "formation_energy_uncorrected_kcal_per_mol_atoms": -19.59,
  "e_tot_ev_per_atom": -4.336
}